Li2RhAu (PBEsol, optimized geometry); N(E_F) = 2.82 states/eV/f.u.; formation energy from the elements = -89.5 kJ/mol of formula units; crystal system = trigonal; energy = -4.2310 eV/atom
1.0
1.3735 0.7930 8.5977
-1.3735 0.7930 8.5977
0.0000 -1.5860 8.5977
Li Rh Au
2 1 1
Cartesian
0.0000 0.0000 6.3451
0.0000 0.0000 19.4481
0.0000 0.0000 12.8966
0.0000 0.0000 0.0000

=====

Y3Ga4Cu2 (PBEsol, optimized geometry); N(E_F) = 3.56 states/eV/f.u.; formation energy from the elements = -506.8 kJ/mol of formula units; crystal system = trigonal; energy = -5.3052 eV/atom
1.0
4.2528 0.0000 0.0000
-2.1264 3.6830 0.0000
0.0000 0.0000 21.9958
Y Ga Cu
6 8 4
Cartesian
0.0000 0.0000 0.0000
0.0000 0.0000 3.4372
0.0000 0.0000 7.2857
0.0000 0.0000 10.7208
0.0000 0.0000 14.6305
0.0000 0.0000 18.0715
0.0000 2.4553 1.6300
0.0000 2.4553 5.6532
0.0000 2.4553 8.8995
0.0000 2.4553 12.9298
0.0000 2.4553 20.3554
2.1264 1.2277 5.0690
2.1264 1.2277 12.3431
2.1264 1.2277 19.8002
0.0000 2.4553 16.2590
2.1264 1.2277 1.9398
2.1264 1.2277 9.1876
2.1264 1.2277 16.4546

=====

MnTl2Se (PBEsol, optimized geometry); formation energy without anion corrections = 289 meV/atom; N(E_F) = 1.85 states/eV/f.u.; crystal system = orthorhombic; energy relative to the lowest polymorph listed for this composition = 25.4 kJ per mole of atoms; energy = -4.4292 eV/atom
1.0
3.0929 -3.8720 0.0000
3.0929 3.8720 0.0000
0.0000 0.0000 3.8516
Mn Tl Se
1 2 1
Cartesian
0.0000 0.0000 0.0000
1.5464 1.9360 1.9258
1.5464 -1.9360 1.9258
3.0929 0.0000 0.0000

=====

LiMoP2O7 (PBEsol, optimized geometry); formation energy without anion corrections = -2072 meV/atom; crystal system = monoclinic; energy relative to the lowest polymorph listed for this composition = 0.0 kJ per mole of atoms; energy = -7.7142 eV/atom
1.0
4.9099 0.0000 0.0000
0.0000 8.3762 0.0000
-2.2784 0.0000 6.6739
Li Mo P O
2 2 4 14
Cartesian
0.5062 0.0000 1.1041
2.1253 4.1881 5.5697
0.5161 2.9623 1.5017
2.1153 7.1505 5.1722
-0.2845 0.5683 3.8779
1.9129 5.6676 0.2153
0.7186 1.4795 6.4586
2.9160 4.7564 2.7960
-0.5591 4.4672 2.4049
-0.1922 1.2762 2.5265
-1.2644 6.8762 6.6218
1.1552 4.3421 0.0718
0.5953 7.6965 3.8924
1.7210 1.4587 0.6227
0.3104 1.6614 4.9198
2.3211 5.8495 1.7541
0.9105 5.6468 6.0512
2.0361 3.5084 2.7815
1.4763 0.1540 6.6020
3.8958 2.6881 0.0520
2.8237 5.4643 4.1473
3.1906 0.2790 4.2689

=====

Sc2FeS (PBEsol, optimized geometry); formation energy without anion corrections = -90 meV/atom; N(E_F) = 3.60 states/eV/f.u.; crystal system = trigonal; energy = -6.7291 eV/atom
1.0
1.6897 0.9756 8.1014
-1.6897 0.9756 8.1014
0.0000 -1.9511 8.1014
Sc Fe S
2 1 1
Cartesian
0.0000 0.0000 2.3896
0.0000 0.0000 21.9145
0.0000 0.0000 12.1520
0.0000 0.0000 0.0000

=====

CeZn2Au4 (PBEsol, optimized geometry); N(E_F) = 6.41 states/eV/f.u.; formation energy from the elements = -322.1 kJ/mol of formula units; crystal system = tetragonal; energy = -4.1134 eV/atom
1.0
-3.4481 3.4481 2.6328
3.4481 -3.4481 2.6328
3.4481 3.4481 -2.6328
Ce Zn Au
1 2 4
Cartesian
0.0000 0.0000 0.0000
3.4481 0.0000 1.3164
0.0000 3.4481 1.3164
2.0767 2.0767 0.0000
1.3715 -1.3715 2.6328
-1.3715 1.3715 2.6328
1.3715 1.3715 2.6328

=====

AlFeAg2 (PBEsol, optimized geometry); N(E_F) = 2.56 states/eV/f.u.; formation energy from the elements = 77.4 kJ/mol of formula units; crystal system = trigonal; energy = -4.7189 eV/atom
1.0
1.3936 0.8046 8.9647
-1.3936 0.8046 8.9647
0.0000 -1.6091 8.9647
Al Fe Ag
1 1 2
Cartesian
0.0000 0.0000 0.0000
0.0000 0.0000 13.4471
0.0000 0.0000 6.7051
0.0000 0.0000 20.1890

=====

HgPb2Au (PBEsol, optimized geometry); N(E_F) = 1.71 states/eV/f.u.; formation energy from the elements = -4.2 kJ/mol of formula units; crystal system = monoclinic; energy relative to the lowest polymorph listed for this composition = 0.0 kJ per mole of atoms; energy = -3.1328 eV/atom
1.0
3.4498 0.0000 0.0000
0.0000 3.5465 0.0000
-0.0098 0.0000 8.0571
Hg Pb Au
1 2 1
Cartesian
0.0000 0.0000 0.0000
1.7146 1.7733 2.2410
1.7254 1.7733 5.8160
-0.0049 0.0000 4.0285

=====

TlPbCl2 (PBEsol, optimized geometry); formation energy without anion corrections = -534 meV/atom; N(E_F) = 1.54 states/eV/f.u.; crystal system = orthorhombic; energy relative to the lowest polymorph listed for this composition = 11.4 kJ per mole of atoms; energy = -3.1953 eV/atom
1.0
2.1562 -2.9601 0.0000
2.1562 2.9601 0.0000
0.0000 0.0000 8.8216
Tl Pb Cl
1 1 2
Cartesian
0.0000 0.0000 0.0000
2.1562 0.0000 6.1771
0.0000 0.0000 4.4459
2.1562 0.0000 1.6586

=====

K2MnW (PBEsol, optimized geometry); N(E_F) = 3.84 states/eV/f.u.; formation energy from the elements = 607.8 kJ/mol of formula units; crystal system = monoclinic; energy relative to the lowest polymorph listed for this composition = 60.1 kJ per mole of atoms; energy = -4.8840 eV/atom
1.0
2.8107 -6.0622 0.0000
2.8107 6.0622 0.0000
-1.2524 0.0000 2.4677
K Mn W
2 1 1
Cartesian
1.4053 3.0311 0.0000
1.4053 -3.0311 0.0000
-0.6262 0.0000 1.2339
2.1845 0.0000 1.2339

=====

Mg2TlIn (PBEsol, optimized geometry); N(E_F) = 1.57 states/eV/f.u.; formation energy from the elements = -36.1 kJ/mol of formula units; crystal system = orthorhombic; energy = -2.3554 eV/atom
1.0
3.2924 -4.1639 0.0000
3.2924 4.1639 0.0000
0.0000 0.0000 3.3805
Mg Tl In
2 1 1
Cartesian
1.6462 2.0819 0.0000
1.6462 -2.0819 0.0000
0.0000 0.0000 1.6903
3.2924 0.0000 1.6903

=====

CrTcW2 (PBEsol, optimized geometry); N(E_F) = 2.80 states/eV/f.u.; formation energy from the elements = 24.5 kJ/mol of formula units; crystal system = tetragonal; energy relative to the lowest polymorph listed for this composition = 0.5 kJ per mole of atoms; energy = -12.2172 eV/atom
1.0
4.3115 0.0000 0.0000
0.0000 4.3115 0.0000
0.0000 0.0000 3.0567
Cr Tc W
1 1 2
Cartesian
0.0000 0.0000 0.0000
2.1557 2.1557 0.0000
0.0000 2.1557 1.5283
2.1557 0.0000 1.5283